No. 1
{
  "formula": "Zr2ScCo",
  "functional": "SCAN",
  "state": "single point on PBEsol structure",
  "lattice_angstrom": [[-1.9510, 1.9510, 4.8234], [1.9510, -1.9510, 4.8234], [1.9510, 1.9510, -4.8234]],
  "species": ["Zr", "Zr", "Sc", "Co"],
  "frac_coords": [[0.2500, 0.7500, 0.5000], [0.7500, 0.2500, 0.5000], [0.0000, 0.0000, 0.0000], [0.5000, 0.5000, 0.0000]],
  "formation_energy_ev_per_atom": 0.225,
  "magmom_total_mub_per_atom": 0.001,
  "e_above_lowest_polymorph_ev_per_atom": 0.3962,
  "space_group": "I4/mmm",
  "dos_ef_per_ev_cell": 4.923
}

=====

No. 2
{
  "formula": "RbTiTe3",
  "functional": "SCAN",
  "state": "single point on PBEsol structure",
  "lattice_angstrom": [[5.4034, 0.0000, 0.0000], [0.0000, 5.4034, 0.0000], [0.0000, 0.0000, 5.4034]],
  "species": ["Rb", "Ti", "Te", "Te", "Te"],
  "frac_coords": [[0.0000, 0.0000, 0.0000], [0.5000, 0.5000, 0.5000], [0.0000, 0.5000, 0.5000], [0.5000, 0.0000, 0.5000], [0.5000, 0.5000, 0.0000]],
  "magmom_total_mub_per_atom": 0.000,
  "e_form_raw_ev_per_atom": -0.677,
  "space_group": "Pm-3m",
  "dos_ef_per_ev_cell": 1.727
}

=====

No. 3
{
  "formula": "TbCoSn",
  "functional": "SCAN",
  "state": "single point on PBEsol structure",
  "lattice_angstrom": [[7.3222, 0.0000, 0.0000], [0.0000, 4.5311, 0.0000], [0.0000, 0.0000, 7.0287]],
  "species": ["Tb", "Tb", "Tb", "Tb", "Co", "Co", "Co", "Co", "Sn", "Sn", "Sn", "Sn"],
  "frac_coords": [[0.0283, 0.2500, 0.1929], [0.4717, 0.7500, 0.6929], [0.5283, 0.2500, 0.3071], [0.9717, 0.7500, 0.8071], [0.1460, 0.7500, 0.4429], [0.3540, 0.2500, 0.9429], [0.6460, 0.7500, 0.0571], [0.8540, 0.2500, 0.5571], [0.1992, 0.2500, 0.6135], [0.3008, 0.7500, 0.1135], [0.6992, 0.2500, 0.8865], [0.8008, 0.7500, 0.3865]],
  "formation_energy_ev_per_atom": -0.519,
  "magmom_total_mub_per_atom": 0.443,
  "space_group": "Pnma",
  "dos_ef_per_ev_cell": 8.323
}

=====

No. 4
{
  "formula": "SiHgTe2",
  "functional": "SCAN",
  "state": "single point on PBEsol structure",
  "lattice_angstrom": [[6.7593, -1.9170, 0.0000], [6.7593, 1.9170, 0.0000], [-0.0751, 0.0000, 4.1431]],
  "species": ["Si", "Hg", "Te", "Te"],
  "frac_coords": [[0.0000, 0.0000, 0.0000], [0.7710, 0.7710, 0.4333], [0.3412, 0.3412, 0.9358], [0.5612, 0.5612, 0.4556]],
  "magmom_total_mub_per_atom": 0.000,
  "e_above_lowest_polymorph_ev_per_atom": 0.1714,
  "e_form_raw_ev_per_atom": 0.260,
  "space_group": "Cm",
  "dos_ef_per_ev_cell": 1.047
}

=====

No. 5
{
  "formula": "TaFe2Re",
  "functional": "SCAN",
  "state": "single point on PBEsol structure",
  "lattice_angstrom": [[2.6152, 0.0000, 0.0000], [0.0000, 4.2389, 0.0000], [-0.7764, 0.0000, 4.8873]],
  "species": ["Ta", "Fe", "Fe", "Re"],
  "frac_coords": [[0.0000, 0.0000, 0.0000], [0.5219, 0.0000, 0.4868], [0.7223, 0.5000, 0.2456], [0.2496, 0.5000, 0.7162]],
  "formation_energy_ev_per_atom": -0.062,
  "magmom_total_mub_per_atom": 1.161,
  "space_group": "Pm",
  "dos_ef_per_ev_cell": 1.920
}

=====

No. 6
{
  "formula": "ZnIr2Cl",
  "functional": "SCAN",
  "state": "single point on PBEsol structure",
  "lattice_angstrom": [[4.3807, 0.0000, 0.0000], [0.0000, 4.3807, 0.0000], [0.0000, 0.0000, 2.9311]],
  "species": ["Zn", "Ir", "Ir", "Cl"],
  "frac_coords": [[0.0000, 0.0000, 0.0000], [0.0000, 0.5000, 0.5000], [0.5000, 0.0000, 0.5000], [0.5000, 0.5000, 0.0000]],
  "magmom_total_mub_per_atom": 0.000,
  "e_above_lowest_polymorph_ev_per_atom": 0.5817,
  "e_form_raw_ev_per_atom": 0.904,
  "space_group": "P4/mmm",
  "dos_ef_per_ev_cell": 3.038
}